First-principles (PBE-GGA) data for a geometry-optimized Ce6Pb3C2 structure, as listed in the Alexandria database.

Cell: 13.675 13.675 13.675 Å, 159.70 159.70 28.86°
Element x y z (fractional)
Ce 0.086 0.586 0.500
Ce 0.196 0.196 0.000
Ce 0.414 0.914 0.500
Ce 0.586 0.086 0.500
Ce 0.804 0.804 0.000
Ce 0.914 0.414 0.500
Pb 0.322 0.322 0.000
Pb 0.500 0.500 0.000
Pb 0.678 0.678 0.000
C 0.108 0.108 0.000
C 0.892 0.892 0.000

## Properties
DFT total energy   -68.51 eV for the cell shown
SG   I4/mmm
Formation energy from the elements   -0.30 eV/atom



First-principles (PBE-GGA) data for a geometry-optimized Ce10Pb4C3 structure, as listed in the Alexandria database.

Cell: 18.492 18.492 18.492 Å, 164.54 164.54 21.93°
Element x y z (fractional)
Ce 0.000 0.500 0.500
Ce 0.069 0.069 0.000
Ce 0.135 0.635 0.500
Ce 0.209 0.209 0.000
Ce 0.365 0.865 0.500
Ce 0.500 0.000 0.500
Ce 0.635 0.135 0.500
Ce 0.791 0.791 0.000
Ce 0.865 0.365 0.500
Ce 0.931 0.931 0.000
Pb 0.301 0.301 0.000
Pb 0.432 0.432 0.000
Pb 0.568 0.568 0.000
Pb 0.699 0.699 0.000
C 0.000 0.000 0.000
C 0.142 0.142 0.000
C 0.858 0.858 0.000

## Properties
DFT total energy   -108.51 eV for the cell shown
SG   I4/mmm
Formation energy from the elements   -0.39 eV/atom



Q: Which of these has the lowest formation energy from the elements?
A: Ce10Pb4C3



Please write out number 1 again, unchanged.
First-principles (PBE-GGA) data for a geometry-optimized Ce6Pb3C2 structure, as listed in the Alexandria database.

Cell: 13.675 13.675 13.675 Å, 159.70 159.70 28.86°
Element x y z (fractional)
Ce 0.086 0.586 0.500
Ce 0.196 0.196 0.000
Ce 0.414 0.914 0.500
Ce 0.586 0.086 0.500
Ce 0.804 0.804 0.000
Ce 0.914 0.414 0.500
Pb 0.322 0.322 0.000
Pb 0.500 0.500 0.000
Pb 0.678 0.678 0.000
C 0.108 0.108 0.000
C 0.892 0.892 0.000

## Properties
DFT total energy   -68.51 eV for the cell shown
SG   I4/mmm
Formation energy from the elements   -0.30 eV/atom



Q: The lowest formation energy from the elements belongs to which entry?
A: Ce10Pb4C3